VASP calculation (PBE) on a relaxed structure of Li5Hg4Au.

Output
Density of states at the Fermi level in states/eV/atom: 0.41
SG: P4/mmm
Formation energy in meV/atom: -400
Magnetization in μB/f.u.: 0.0

Cell and atoms, written as CIF:
```
data_Li5Hg4Au
_chemical_formula_sum 'Li5 Hg4 Au1'
_cell_length_a 3.2869
_cell_length_b 3.2869
_cell_length_c 16.5460
_cell_angle_alpha 90.00
_cell_angle_beta 90.00
_cell_angle_gamma 90.00
_symmetry_space_group_name_H-M 'P 1'
_symmetry_Int_Tables_number 1
loop_
_symmetry_equiv_pos_as_xyz
'x,y,z'
loop_
_atom_site_label
_atom_site_type_symbol
_atom_site_fract_x
_atom_site_fract_y
_atom_site_fract_z
Hg1 Hg 0.0000 0.0000 0.3975
Hg2 Hg 0.0000 0.0000 0.6025
Hg3 Hg 0.0000 0.0000 0.8073
Hg4 Hg 0.0000 0.0000 0.1927
Li1 Li 0.5000 0.5000 0.9134
Li2 Li 0.5000 0.5000 0.0866
Li3 Li 0.5000 0.5000 0.7058
Li4 Li 0.5000 0.5000 0.2942
Li5 Li 0.5000 0.5000 0.5000
Au1 Au 0.0000 0.0000 0.0000
```